Computed, not measured: ThTeI3 after structural relaxation at the GGA-PBE level of DFT.

Lattice parameters (Å, degrees): 7.955 8.430 15.447 90.00 100.43 90.00
Element x y z (fractional)
Th: 0.089 0.135 0.139
Th: 0.089 0.865 0.639
Th: 0.911 0.135 0.361
Th: 0.911 0.865 0.861
Te: 0.162 0.386 0.300
Te: 0.162 0.614 0.800
Te: 0.838 0.386 0.200
Te: 0.838 0.614 0.700
I: 0.159 0.189 0.544
I: 0.159 0.811 0.044
I: 0.240 0.067 0.807
I: 0.240 0.933 0.307
I: 0.374 0.296 0.072
I: 0.374 0.704 0.572
I: 0.626 0.296 0.428
I: 0.626 0.704 0.928
I: 0.760 0.067 0.693
I: 0.760 0.933 0.193
I: 0.841 0.189 0.956
I: 0.841 0.811 0.456

Output
final energy: -4.11 eV/atom
formation energy (no corrections): -1.07 eV/atom
symmetry: P2/c (13)



Computed, not measured: Pr2Dy6ErTm3 after structural relaxation at the GGA-PBE level of DFT.

Lattice parameters (Å, degrees): 6.154 6.154 11.777 94.98 94.98 119.97
Element x y z (fractional)
Pr: 0.167 0.833 0.000
Pr: 0.833 0.167 0.000
Dy: 0.083 0.415 0.745
Dy: 0.253 0.253 0.255
Dy: 0.415 0.083 0.745
Dy: 0.585 0.917 0.255
Dy: 0.747 0.747 0.745
Dy: 0.917 0.585 0.255
Er: 0.500 0.500 0.000
Tm: 0.000 0.000 0.500
Tm: 0.334 0.666 0.500
Tm: 0.666 0.334 0.500

Output
final energy: -4.57 eV/atom
formation energy from the elements: 0.0213 eV/atom
symmetry: C2/m (12)
N(E_F): 1.3174 states/eV/atom



Computed, not measured: YTm2MgAu4 after structural relaxation at the GGA-PBE level of DFT.

Lattice parameters (Å, degrees): 8.645 8.645 8.645 33.36 33.36 33.36
Element x y z (fractional)
Y: 0.000 0.000 0.000
Tm: 0.245 0.245 0.245
Tm: 0.755 0.755 0.755
Mg: 0.500 0.500 0.500
Au: 0.124 0.124 0.124
Au: 0.376 0.376 0.376
Au: 0.624 0.624 0.624
Au: 0.876 0.876 0.876

Output
final energy: -4.59 eV/atom
formation energy from the elements: -0.8215 eV/atom
symmetry: R-3m (166)
N(E_F): 0.5650 states/eV/atom



Computed, not measured: La12PrSn4O3 after structural relaxation at the GGA-PBE level of DFT.

Lattice parameters (Å, degrees): 9.006 9.006 9.006 109.47 109.47 109.47
Element x y z (fractional)
La: 0.000 0.272 0.272
La: 0.000 0.728 0.728
La: 0.250 0.500 0.750
La: 0.250 0.750 0.500
La: 0.272 0.000 0.272
La: 0.272 0.272 0.000
La: 0.500 0.250 0.750
La: 0.500 0.750 0.250
La: 0.728 0.000 0.728
La: 0.728 0.728 0.000
La: 0.750 0.250 0.500
La: 0.750 0.500 0.250
Pr: 0.000 0.000 0.000
Sn: 0.000 0.000 0.500
Sn: 0.000 0.500 0.000
Sn: 0.500 0.000 0.000
Sn: 0.500 0.500 0.500
O: 0.000 0.500 0.500
O: 0.500 0.000 0.500
O: 0.500 0.500 0.000

Output
final energy: -5.75 eV/atom
formation energy (no corrections): -1.01 eV/atom
symmetry: Im-3m (229)
N(E_F): 1.1792 states/eV/atom



Computed, not measured: MgCr2Ag after structural relaxation at the GGA-PBE level of DFT.

Lattice parameters (Å, degrees): 2.596 2.596 8.790 90.00 90.00 90.00
Element x y z (fractional)
Mg: 0.000 0.000 0.000
Cr: 0.500 0.500 0.250
Cr: 0.500 0.500 0.750
Ag: 0.000 0.000 0.500

Output
final energy: -5.23 eV/atom
formation energy from the elements: 0.6976 eV/atom
symmetry: P4/mmm (123)
N(E_F): 1.2416 states/eV/atom



Computed, not measured: Sm6Ho2Th after structural relaxation at the GGA-PBE level of DFT.

Lattice parameters (Å, degrees): 3.604 3.604 26.774 90.00 90.00 120.00
Element x y z (fractional)
Sm: 0.000 0.000 0.066
Sm: 0.000 0.000 0.279
Sm: 0.000 0.000 0.721
Sm: 0.000 0.000 0.934
Sm: 0.333 0.667 0.390
Sm: 0.333 0.667 0.610
Ho: 0.333 0.667 0.171
Ho: 0.333 0.667 0.829
Th: 0.000 0.000 0.500

Output
final energy: -4.93 eV/atom
formation energy from the elements: 0.0596 eV/atom
symmetry: P-6m2 (187)
N(E_F): 1.7014 states/eV/atom



Computed, not measured: Rb3InCu2F9 after structural relaxation at the GGA-PBE level of DFT.

Lattice parameters (Å, degrees): 6.053 6.053 7.466 90.00 90.00 120.00
Element x y z (fractional)
Rb: 0.000 0.000 0.000
Rb: 0.333 0.667 0.684
Rb: 0.667 0.333 0.316
In: 0.000 0.000 0.500
Cu: 0.333 0.667 0.151
Cu: 0.667 0.333 0.849
F: 0.000 0.500 0.000
F: 0.165 0.330 0.336
F: 0.165 0.835 0.336
F: 0.330 0.165 0.664
F: 0.500 0.000 0.000
F: 0.500 0.500 0.000
F: 0.670 0.835 0.336
F: 0.835 0.165 0.664
F: 0.835 0.670 0.664

Output
final energy: -4.32 eV/atom
formation energy (no corrections): -2.28 eV/atom
symmetry: P-3m1 (164)
N(E_F): 0.2041 states/eV/atom



Computed, not measured: CsAlCu2 after structural relaxation at the GGA-PBE level of DFT.

Lattice parameters (Å, degrees): 5.336 5.336 16.536 90.00 90.00 90.00
Element x y z (fractional)
Cs: 0.000 0.250 0.375
Cs: 0.000 0.750 0.625
Cs: 0.500 0.250 0.125
Cs: 0.500 0.750 0.875
Al: 0.000 0.250 0.875
Al: 0.000 0.750 0.125
Al: 0.500 0.250 0.625
Al: 0.500 0.750 0.375
Cu: 0.000 0.000 0.000
Cu: 0.000 0.500 0.000
Cu: 0.250 0.250 0.750
Cu: 0.250 0.750 0.250
Cu: 0.500 0.000 0.500
Cu: 0.500 0.500 0.500
Cu: 0.750 0.250 0.750
Cu: 0.750 0.750 0.250

Output
final energy: -2.84 eV/atom
formation energy from the elements: 0.3526 eV/atom
symmetry: I4_1/amd (141)
N(E_F): 0.4305 states/eV/atom